Crystalline ThScGePd at its relaxed geometry. Source: Alexandria via LeMat-Bulk, functional PBE-GGA.

space group	F-43m
energy relative to the elements	-0.628	eV/atom

```
ThScGePd
1.0
0.000 3.533 3.533
3.533 0.000 3.533
3.533 3.533 0.000
Th Sc Ge Pd
1 1 1 1
direct
0.000 0.000 0.000
0.500 0.500 0.500
0.250 0.250 0.250
0.750 0.750 0.750
```